DFT (PBE with a Hubbard U) results for RbV2BiO8 after structural relaxation.

Geometry as CIF:
```
data_RbV2BiO8
_cell_length_a 5.4417
_cell_length_b 5.4417
_cell_length_c 8.4391
_cell_angle_alpha 90.00
_cell_angle_beta 90.00
_cell_angle_gamma 120.00
_symmetry_space_group_name_H-M 'P -3'
_symmetry_Int_Tables_number 147
loop_
_symmetry_equiv_pos_as_xyz
'x,y,z'
'-x,-y,-z'
'-y,x-y,z'
'y,-x+y,-z'
'-x+y,-x,z'
'x-y,x,-z'
loop_
_atom_site_label
_atom_site_type_symbol
_atom_site_fract_x
_atom_site_fract_y
_atom_site_fract_z
Rb1 Rb 0.0000 0.0000 0.0000
V1 V 0.3333 0.6667 0.7151
Bi1 Bi 0.0000 0.0000 0.5000
O1 O 0.0480 0.3306 0.6541
O2 O 0.3333 0.6667 0.9104
```

Computed properties:
As for the crystal system: trigonal. Its total energy is -6.52 eV per atom. The calculation puts the density at 4.0 g cm⁻³.